The following is a DFT calculation (GGA-PBE) of a relaxed MgZrRuSe2 crystal.

Cell: 4.949 4.879 4.949 Å, 90.00 90.00 90.00°
Sites, in units of the cell vectors:
Mg 0.500 0.500 0.500
Zr 0.000 0.500 0.000
Se 0.500 0.000 0.000
Ru 0.000 0.000 0.000
Se 0.000 0.000 0.500

Computed properties:
Total magnetization ... 0.000 μB/cell
D(E_F) ... 5.26 states/eV per cell
SG ... P4/mmm, No. 123
Uncorrected formation energy ... 0.21 eV/atom